No. 1
## Dy2YErTm6 (PBE-GGA)

Data for crystalline Dy2YErTm6 at its relaxed geometry.

Cell and atoms, written as POSCAR:
```
Dy2YErTm6
1.0
4.457 -7.449 0.000
4.457 7.449 0.000
-1.251 0.000 9.352
Dy Y Er Tm
4 2 2 12
Direct
0.195 0.304 0.456
0.304 0.195 0.956
0.696 0.805 0.044
0.805 0.696 0.544
0.478 0.522 0.750
0.522 0.478 0.250
0.091 0.909 0.250
0.909 0.091 0.750
0.002 0.789 0.881
0.071 0.521 0.685
0.211 0.998 0.619
0.250 0.628 0.057
0.372 0.750 0.443
0.479 0.929 0.815
0.521 0.071 0.185
0.628 0.250 0.557
0.750 0.372 0.943
0.789 0.002 0.381
0.929 0.479 0.315
0.998 0.211 0.119
```

Calculated values
- raw total energy (eV per atom) = -4.59
- SG = C2/c

***

No. 2
## Zn4AgPt (PBE-GGA)

Data for crystalline Zn4AgPt at its relaxed geometry.

Cell and atoms, written as POSCAR:
```
Zn4AgPt
1.0
2.667 -3.643 0.000
2.667 3.643 0.000
-2.215 0.000 5.044
Zn Ag Pt
4 1 1
Direct
0.055 0.437 0.258
0.437 0.055 0.258
0.563 0.945 0.742
0.945 0.563 0.742
0.500 0.500 0.000
0.000 0.000 0.500
```

Calculated values
- raw total energy (eV per atom) = -2.49
- SG = C2/m

***

No. 3
## LiTc (PBE-GGA)

Data for crystalline LiTc at its relaxed geometry.

Cell and atoms, written as POSCAR:
```
LiTc
1.0
0.000 3.767 4.491
3.148 0.000 4.491
3.148 3.767 0.000
Li Tc
4 4
Direct
0.026 0.724 0.724
0.276 0.974 0.974
0.724 0.026 0.026
0.974 0.276 0.276
0.217 0.533 0.217
0.467 0.783 0.467
0.533 0.217 0.533
0.783 0.467 0.783
```

Calculated values
- raw total energy (eV per atom) = -5.38
- SG = Fddd

***

No. 4
## CsRbNa4Hg2 (PBE-GGA)

Data for crystalline CsRbNa4Hg2 at its relaxed geometry.

Cell and atoms, written as POSCAR:
```
CsRbNa4Hg2
1.0
5.032 0.000 0.000
0.000 5.032 0.000
0.000 0.000 14.619
Cs Rb Na Hg
1 1 4 2
Direct
0.000 0.000 0.000
0.000 0.000 0.500
0.000 0.500 0.258
0.000 0.500 0.742
0.500 0.000 0.258
0.500 0.000 0.742
0.500 0.500 0.396
0.500 0.500 0.604
```

Calculated values
- raw total energy (eV per atom) = -1.06
- SG = P4/mmm

***

No. 5
## YOsPt3 (PBE-GGA)

Data for crystalline YOsPt3 at its relaxed geometry.

Cell and atoms, written as POSCAR:
```
YOsPt3
1.0
4.856 0.000 0.000
0.000 4.856 0.000
0.000 0.000 4.856
Y Os Pt
1 1 3
Direct
0.000 0.000 0.000
0.500 0.500 0.500
0.000 0.500 0.500
0.500 0.000 0.500
0.500 0.500 0.000
```

Calculated values
- raw total energy (eV per atom) = -6.80
- SG = Pm-3m

***

No. 6
## Ca2BeAl (PBE-GGA)

Data for crystalline Ca2BeAl at its relaxed geometry.

Cell and atoms, written as POSCAR:
```
Ca2BeAl
1.0
0.000 3.635 3.635
3.635 0.000 3.635
3.635 3.635 0.000
Ca Be Al
2 1 1
Direct
0.250 0.250 0.250
0.750 0.750 0.750
0.000 0.000 0.000
0.500 0.500 0.500
```

Calculated values
- raw total energy (eV per atom) = -2.74
- SG = Fm-3m

***

No. 7
## CaPNF2 (PBE-GGA)

Data for crystalline CaPNF2 at its relaxed geometry.

Cell and atoms, written as POSCAR:
```
CaPNF2
1.0
4.189 0.000 0.000
0.000 4.189 0.000
0.000 0.000 5.642
Ca P N F
1 1 1 2
Direct
0.000 0.000 0.000
0.500 0.500 0.500
0.000 0.000 0.500
0.000 0.500 0.000
0.500 0.000 0.000
```

Calculated values
- formation energy (no corrections) (eV per atom) = -0.64
- SG = P4/mmm

***

No. 8
## NdTlCdPb (PBE-GGA)

Data for crystalline NdTlCdPb at its relaxed geometry.

Cell and atoms, written as POSCAR:
```
NdTlCdPb
1.0
4.642 0.000 0.000
0.000 4.778 0.000
0.000 0.000 4.984
Nd Tl Cd Pb
1 1 1 1
Direct
0.000 0.000 0.000
0.500 0.000 0.500
0.000 0.500 0.500
0.500 0.500 0.000
```

Calculated values
- raw total energy (eV per atom) = -3.30
- SG = Pmmm